Pm4Co2Br5 | Alexandria | PBE | relaxed; excess energy over the best structure of this formula in the dataset = 0.0 meV/atom; energy relative to the elements, uncorrected = -24.2 kcal/mol of atoms
1.0
4.033 0.000 0.000
0.000 8.319 0.757
-2.017 -1.559 11.097
Pm Co Br
4 2 5
Direct
0.657 0.555 0.314 Pm
0.020 0.712 0.041 Pm
0.343 0.445 0.686 Pm
0.980 0.288 0.959 Pm
0.548 0.497 0.096 Co
0.452 0.503 0.904 Co
0.152 0.817 0.305 Br
0.848 0.183 0.695 Br
0.203 0.331 0.405 Br
0.500 0.000 0.000 Br
0.797 0.669 0.595 Br

=====

Pm4Co2Br | Alexandria | PBE | relaxed; energy relative to the elements, uncorrected = -9.5 kcal/mol of atoms
1.0
3.994 0.000 0.000
1.997 3.459 0.000
1.997 1.153 13.937
Pm Co Br
4 2 1
Direct
0.127 0.127 0.620 Pm
0.276 0.276 0.171 Pm
0.724 0.724 0.829 Pm
0.873 0.873 0.380 Pm
0.426 0.426 0.722 Co
0.574 0.574 0.278 Co
0.000 0.000 0.000 Br

=====

Pm4Co2Br5 | Alexandria | PBE | relaxed; excess energy over the best structure of this formula in the dataset = 36.8 meV/atom; energy relative to the elements, uncorrected = -23.3 kcal/mol of atoms
1.0
3.967 0.000 -0.902
-0.769 7.599 -3.380
0.313 0.134 10.550
Pm Co Br
4 2 5
Direct
0.681 0.681 0.363 Pm
0.000 0.287 0.000 Pm
0.319 0.319 0.637 Pm
0.000 0.713 0.000 Pm
0.556 0.556 0.111 Co
0.444 0.444 0.889 Co
0.169 0.401 0.339 Br
0.831 0.599 0.661 Br
0.169 0.938 0.339 Br
0.500 0.000 0.000 Br
0.831 0.062 0.661 Br

=====

Pm2CoBr | Alexandria | PBE | relaxed; excess energy over the best structure of this formula in the dataset = 0.0 meV/atom; energy relative to the elements, uncorrected = -16.8 kcal/mol of atoms
1.0
-1.150 3.774 0.398
0.751 -2.194 3.217
7.934 0.494 -1.512
Pm Co Br
2 1 1
Direct
0.485 0.984 0.244 Pm
0.562 0.523 0.859 Pm
0.023 0.253 0.052 Co
0.022 0.752 0.551 Br

=====

PmCoBr6 | Alexandria | PBE | relaxed; energy relative to the elements, uncorrected = -21.7 kcal/mol of atoms
1.0
-4.687 3.983 2.567
-0.144 1.180 6.558
2.025 6.503 2.261
Pm Co Br
1 1 6
Direct
0.500 0.500 0.500 Pm
0.000 0.000 0.000 Co
0.063 0.383 0.769 Br
0.784 0.063 0.770 Br
0.617 0.216 0.231 Br
0.216 0.937 0.230 Br
0.937 0.617 0.231 Br
0.383 0.784 0.769 Br

=====

Pm2CoBr | Alexandria | PBE | relaxed; excess energy over the best structure of this formula in the dataset = 177.1 meV/atom; energy relative to the elements, uncorrected = -12.7 kcal/mol of atoms
1.0
-1.909 -1.200 -2.568
2.817 -0.459 -1.880
0.756 -7.600 2.988
Co Br Pm
1 1 2
Direct
0.500 0.500 0.000 Co
0.500 0.500 0.500 Br
0.000 0.000 0.793 Pm
0.000 0.000 0.207 Pm